The following is a DFT calculation (PBE) of a geometry-optimized LuBe2 structure.

The value obtained for the volume is 97.89 A^3/atom. The calculation puts the final energy at -1.440 eV per atom.

It has space group Fd-3m (No. 227, origin choice 2), with a = 13.2938 Å, b = 13.2938 Å, c = 13.2938 Å, α = 90.00°, β = 90.00° and γ = 90.00°. Symmetry generates all atoms from Lu at (0.1250, 0.1250, 0.1250) and Be at (0.0000, 0.0000, 0.0000).